Record 1
Here is crystalline LaErGePd at its relaxed geometry from the Alexandria database. Energies are from PBE-GGA.

It has space group F-43m (No. 216), with a = 7.2530 Å, b = 7.2530 Å, c = 7.2530 Å, α = 90.00°, β = 90.00° and γ = 90.00°. The inequivalent atoms are La at (0.0000, 0.0000, 0.0000), Er at (0.0000, 0.0000, 0.5000), Ge at (0.2500, 0.2500, 0.7500) and Pd at (0.2500, 0.2500, 0.2500).

The total energy is -89.378 eV for the cell shown. The energy of formation from the pure elements comes out at -761 meV per atom.


Record 2
Here is crystalline Nd4InBr5 at its relaxed geometry from the Alexandria database. Energies are from PBE-GGA.

It has space group C2/m (No. 12), with a = 18.6499 Å, b = 4.2128 Å, c = 8.9781 Å, α = 90.00°, β = 100.93° and γ = 90.00°. The inequivalent atoms are Nd at (0.0031, 0.0000, 0.2449), Nd at (0.1648, 0.5000, 0.0683), In at (0.0000, 0.5000, 0.0000), Br at (0.0000, 0.5000, 0.5000), Br at (0.1683, 0.0000, 0.3129) and Br at (0.1678, 0.0000, 0.8212).

The total energy is -86.979 eV for the cell shown. For the uncorrected formation energy, the calculation gives -1.33 eV/atom.


Record 3
Here is crystalline YBRu at its relaxed geometry from the Alexandria database. Energies are from PBE-GGA.

It has space group P-6m2 (No. 187), with a = 3.6450 Å, b = 3.6450 Å, c = 4.2886 Å, α = 90.00°, β = 90.00° and γ = 120.00°. The inequivalent atoms are Y at (0.0000, 0.0000, 0.0000), B at (0.3333, 0.6667, 0.5000) and Ru at (0.6667, 0.3333, 0.5000).

The total energy is -23.710 eV for the cell shown. The energy of formation from the pure elements comes out at -431 meV per atom.


Record 4
Here is crystalline ThCd17Hg at its relaxed geometry from the Alexandria database. Energies are from PBE-GGA.

It has space group R3m (No. 160, hexagonal axes), with a = 10.1296 Å, b = 10.1296 Å, c = 15.2292 Å, α = 90.00°, β = 90.00° and γ = 120.00°. The inequivalent atoms are Th at (0.0000, 0.0000, 0.0000), Cd at (0.0000, 0.0000, 0.2270), Cd at (0.0000, 0.0000, 0.4234), Cd at (0.0035, 0.3071, 0.3287), Cd at (0.1743, 0.3486, 0.8091), Cd at (0.1764, 0.3529, 0.1640), Cd at (0.1870, 0.3740, 0.5140) and Hg at (0.0000, 0.0000, 0.7014).

The total energy is -70.170 eV for the cell shown. The energy of formation from the pure elements comes out at -6 meV per atom.


What did the first record say?
Here is crystalline LaErGePd at its relaxed geometry from the Alexandria database. Energies are from PBE-GGA.

It has space group F-43m (No. 216), with a = 7.2530 Å, b = 7.2530 Å, c = 7.2530 Å, α = 90.00°, β = 90.00° and γ = 90.00°. The inequivalent atoms are La at (0.0000, 0.0000, 0.0000), Er at (0.0000, 0.0000, 0.5000), Ge at (0.2500, 0.2500, 0.7500) and Pd at (0.2500, 0.2500, 0.2500).

The total energy is -89.378 eV for the cell shown. The energy of formation from the pure elements comes out at -761 meV per atom.